VASP calculation (GGA-PBE) on SrTbCd2Au4 after structural relaxation.

```
SrTbCd2Au4
1.0
5.0299 0.0000 0.0000
0.0000 5.0299 0.0000
0.0000 0.0000 7.1013
Sr Tb Cd Au
1 1 2 4
direct
0.0000 0.0000 0.0000
0.5000 0.5000 0.5000
0.0000 0.0000 0.5000
0.5000 0.5000 0.0000
0.0000 0.5000 0.2683
0.0000 0.5000 0.7317
0.5000 0.0000 0.2683
0.5000 0.0000 0.7317
```

Summary:
Space group ... P4/mmm (123)

***

VASP calculation (GGA-PBE) on SrTmCd2Au4 after structural relaxation.

```
SrTmCd2Au4
1.0
5.0064 0.0000 0.0000
0.0000 5.0064 0.0000
0.0000 0.0000 7.0884
Sr Tm Cd Au
1 1 2 4
direct
0.0000 0.0000 0.0000
0.5000 0.5000 0.5000
0.0000 0.0000 0.5000
0.5000 0.5000 0.0000
0.0000 0.5000 0.2738
0.0000 0.5000 0.7262
0.5000 0.0000 0.2738
0.5000 0.0000 0.7262
```

Summary:
Space group ... P4/mmm (123)

***

VASP calculation (GGA-PBE) on SrYCd2Au4 after structural relaxation.

```
SrYCd2Au4
1.0
5.0297 0.0000 0.0000
0.0000 5.0297 0.0000
0.0000 0.0000 7.0777
Sr Y Cd Au
1 1 2 4
direct
0.0000 0.0000 0.0000
0.5000 0.5000 0.5000
0.0000 0.0000 0.5000
0.5000 0.5000 0.0000
0.0000 0.5000 0.2676
0.0000 0.5000 0.7324
0.5000 0.0000 0.2676
0.5000 0.0000 0.7324
```

Summary:
Space group ... P4/mmm (123)

***

VASP calculation (GGA-PBE) on TaCd2Au after structural relaxation.

```
TaCd2Au
1.0
0.0000 3.3615 3.3615
3.3615 0.0000 3.3615
3.3615 3.3615 0.0000
Ta Cd Au
1 2 1
direct
0.0000 0.0000 0.0000
0.5000 0.5000 0.5000
0.7500 0.7500 0.7500
0.2500 0.2500 0.2500
```

Summary:
Energy relative to the elements ... 31.00 kJ per mole of atoms
Space group ... F-43m (216)

***

VASP calculation (GGA-PBE) on Ta2CdAu after structural relaxation.

```
Ta2CdAu
1.0
0.0000 3.3470 3.3470
3.3470 0.0000 3.3470
3.3470 3.3470 0.0000
Ta Cd Au
2 1 1
direct
0.0000 0.0000 0.0000
0.2500 0.2500 0.2500
0.7500 0.7500 0.7500
0.5000 0.5000 0.5000
```

Summary:
Energy relative to the elements ... 41.77 kJ per mole of atoms
Space group ... F-43m (216)

***

VASP calculation (GGA-PBE) on Tb2CdAu after structural relaxation.

```
Tb2CdAu
1.0
5.0576 0.0000 0.0000
0.0000 3.5039 5.6550
0.0000 -3.5039 5.6550
Tb Cd Au
4 2 2
direct
0.0000 0.0000 0.0000
0.0000 0.4998 0.9678
0.0000 0.9678 0.4998
0.5000 0.3473 0.3473
0.0000 0.4915 0.4915
0.5000 0.8292 0.8292
0.5000 0.3326 0.8239
0.5000 0.8239 0.3326
```

Summary:
Energy relative to the elements ... -31.34 kJ per mole of atoms
Relative energy among the computed polymorphs ... 0.2676 eV/atom
Space group ... Amm2 (38)

***

VASP calculation (GGA-PBE) on Tb2CdAu after structural relaxation.

```
Tb2CdAu
1.0
5.3770 0.0000 0.0000
0.0000 5.7370 3.3035
0.0000 -5.7370 3.3035
Tb Cd Au
4 2 2
direct
0.2500 0.1033 0.8967
0.2500 0.2289 0.4512
0.7500 0.4512 0.2289
0.7500 0.8967 0.1033
0.2500 0.6376 0.9584
0.7500 0.9584 0.6376
0.2500 0.6872 0.4122
0.7500 0.4122 0.6872
```

Summary:
Energy relative to the elements ... -37.77 kJ per mole of atoms
Relative energy among the computed polymorphs ... 0.2009 eV/atom
Space group ... Ama2 (40)

***

VASP calculation (GGA-PBE) on Tb2CdAu after structural relaxation.

```
Tb2CdAu
1.0
3.6785 -5.3090 0.0000
3.6785 5.3090 0.0000
0.0000 0.0000 5.0678
Tb Cd Au
4 2 2
direct
0.1133 0.3549 0.2500
0.3549 0.1133 0.7500
0.6451 0.8867 0.2500
0.8867 0.6451 0.7500
0.3760 0.6240 0.7500
0.6240 0.3760 0.2500
0.1629 0.8371 0.2500
0.8371 0.1629 0.7500
```

Summary:
Energy relative to the elements ... -57.16 kJ per mole of atoms
Relative energy among the computed polymorphs ... 0.0000 eV/atom
Space group ... Cmcm (63)

***

| no. | total moment (μB per atom) | calculated total energy (eV per atom) |
| --- | --- | --- |
| 1 | 0.001 | -3.24 |
| 2 | 0.000 | -3.22 |
| 3 | 0.001 | -3.47 |
| 4 | 0.001 | -3.91 |
| 5 | 0.072 | -6.53 |
| 6 | 0.001 | -3.68 |
| 7 | 0.004 | -3.75 |
| 8 | 0.000 | -3.95 |